Record 1
This record from Alexandria via LeMat-Bulk describes an optimized crystal structure of Sm3YPu2S6. The functional is GGA-PBE.

a b c (Å): 6.874 6.874 6.906
angles (deg): 99.53 99.53 120.01
Last column: magnetic moment on the atom in μB.
Positions (direct):
Sm 0.167 0.833 0.500  0.01
Sm 0.833 0.167 0.500  0.01
Sm 0.500 0.500 0.500  0.01
Y 0.000 0.000 0.000  0.06
Pu 0.333 0.667 0.000  5.32
Pu 0.667 0.333 0.000  5.32
S 0.919 0.586 0.757  -0.04
S 0.749 0.749 0.245  -0.04
S 0.081 0.414 0.243  -0.04
S 0.586 0.919 0.757  -0.04
S 0.251 0.251 0.755  -0.04
S 0.414 0.081 0.243  -0.04

Computed properties:
Formation energy from raw total energies, eV/atom: -1.9547
Crystal system: monoclinic
Total energy, eV for the cell shown: -97.51
Total moment, μB/atom: 0.9434

Record 2
This record from Alexandria via LeMat-Bulk describes an optimized crystal structure of MgTeRuN2. The functional is GGA-PBE.

a b c (Å): 3.888 3.888 5.744
angles (deg): 90.00 90.00 90.00
Last column: magnetic moment on the atom in μB.
Positions (direct):
Ru 0.000 0.000 0.000  -0.02
Mg 0.500 0.500 0.500  0.00
Te 0.000 0.000 0.500  0.01
N 0.000 0.500 0.000  0.17
N 0.500 0.000 0.000  0.17

Computed properties:
Formation energy from raw total energies, eV/atom: 0.5117
Crystal system: tetragonal
Total energy, eV for the cell shown: -28.10
Total moment, μB/atom: 0.0932
Energy above the most stable polymorph in this dataset, eV per atom: 0.000